First-principles (PBE) data for crystalline BeFe2Cu at its relaxed geometry, as listed in Alexandria.

Cell lengths 8.157, 2.480, 4.349 Å; angles 90.00, 101.15, 90.00 degrees
Space group Cm (No. 8)
Unique sites:
Be 0.000 0.000 0.000 [2 per cell]
Fe 0.002 0.500 0.486 [2 per cell]
Fe 0.241 0.500 0.237 [2 per cell]
Cu 0.261 0.000 0.756 [2 per cell]

Crystal system: monoclinic


First-principles (PBE) data for crystalline BeFe2Cu at its relaxed geometry, as listed in Alexandria.

Cell lengths 3.324, 3.324, 17.063 Å; angles 90.00, 90.00, 90.00 degrees
Space group I-42d (No. 122)
Unique sites:
Be 0.000 0.000 0.000 [4 per cell]
Fe 0.240 0.250 0.125 [8 per cell]
Cu 0.000 0.000 0.500 [4 per cell]

Crystal system: tetragonal


First-principles (PBE) data for crystalline BeFe2Cu at its relaxed geometry, as listed in Alexandria.

Cell lengths 2.488, 2.488, 6.856 Å; angles 90.00, 90.00, 90.00 degrees
Space group P4/mmm (No. 123)
Unique sites:
Be 0.000 0.000 0.000 [1 per cell]
Fe 0.500 0.500 0.222 [2 per cell]
Cu 0.000 0.000 0.500 [1 per cell]

Crystal system: tetragonal


First-principles (PBE) data for crystalline Be4FeCu at its relaxed geometry, as listed in Alexandria.

Cell lengths 5.964, 5.964, 5.964 Å; angles 90.00, 90.00, 90.00 degrees
Space group F-43m (No. 216)
Unique sites:
Be 0.124 0.124 0.376 [16 per cell]
Fe 0.250 0.250 0.750 [4 per cell]
Cu 0.000 0.000 0.000 [4 per cell]

Crystal system: cubic


First-principles (PBE) data for crystalline BeFeCu3 at its relaxed geometry, as listed in Alexandria.

Cell lengths 4.395, 4.395, 4.395 Å; angles 90.00, 90.00, 90.00 degrees
Space group Pm-3m (No. 221)
Unique sites:
Be 0.000 0.000 0.000 [1 per cell]
Fe 0.500 0.500 0.500 [1 per cell]
Cu 0.000 0.500 0.500 [3 per cell]

ΔE to the lowest computed polymorph, meV/atom: 765
Crystal system: cubic


First-principles (PBE) data for crystalline Be9FeCu2 at its relaxed geometry, as listed in Alexandria.

Cell lengths 4.1814, 4.1814, 13.5920 Å; angles 90.00, 90.00, 120.00 degrees
Space group P6_3/mmc (No. 194)
Unique sites:
Be 0.0000 0.0000 0.0000 [2 per cell]
Be 0.0000 0.0000 0.2500 [2 per cell]
Be 0.1674 0.3347 0.1265 [12 per cell]
Be 0.3333 0.6667 0.2500 [2 per cell]
Fe 0.3333 0.6667 0.7500 [2 per cell]
Cu 0.3333 0.6667 0.5336 [4 per cell]

Crystal system: hexagonal


First-principles (PBE) data for crystalline BeFe2Cu at its relaxed geometry, as listed in Alexandria.

Cell lengths 2.4699, 2.4699, 24.2303 Å; angles 90.00, 90.00, 120.00 degrees
Space group R-3m (No. 166, hexagonal axes)
Unique sites:
Be 0.0000 0.0000 0.0000 [3 per cell]
Fe 0.0000 0.0000 0.2558 [6 per cell]
Cu 0.0000 0.0000 0.5000 [3 per cell]

Crystal system: trigonal


First-principles (PBE) data for crystalline BeFeCu3 at its relaxed geometry, as listed in Alexandria.

Cell lengths 3.975, 3.975, 3.975 Å; angles 90.00, 90.00, 90.00 degrees
Space group Pm-3m (No. 221)
Unique sites:
Be 0.000 0.000 0.000 [1 per cell]
Fe 0.500 0.500 0.500 [1 per cell]
Cu 0.000 0.000 0.500 [3 per cell]

ΔE to the lowest computed polymorph, meV/atom: 0
Crystal system: cubic


First-principles (PBE) data for crystalline BeFe2Cu at its relaxed geometry, as listed in Alexandria.

Cell lengths 3.441, 3.441, 3.648 Å; angles 90.00, 90.00, 90.00 degrees
Space group P4/mmm (No. 123)
Unique sites:
Be 0.000 0.000 0.000 [1 per cell]
Fe 0.000 0.500 0.500 [2 per cell]
Cu 0.500 0.500 0.000 [1 per cell]

Crystal system: tetragonal


First-principles (PBE) data for crystalline BeFe2Cu at its relaxed geometry, as listed in Alexandria.

Cell lengths 2.501, 2.501, 6.624 Å; angles 90.00, 90.00, 90.00 degrees
Space group P4mm (No. 99)
Unique sites:
Be 0.000 0.000 0.000 [1 per cell]
Fe 0.000 0.000 0.514 [1 per cell]
Fe 0.500 0.500 0.776 [1 per cell]
Cu 0.500 0.500 0.227 [1 per cell]

Crystal system: tetragonal


First-principles (PBE) data for crystalline BeFe2Cu at its relaxed geometry, as listed in Alexandria.

Cell lengths 8.309, 3.153, 3.641 Å; angles 90.00, 115.85, 90.00 degrees
Space group C2/m (No. 12)
Unique sites:
Be 0.000 0.000 0.000 [2 per cell]
Fe 0.242 0.500 0.242 [4 per cell]
Cu 0.000 0.500 0.500 [2 per cell]

Crystal system: monoclinic


First-principles (PBE) data for crystalline Be8FeCu3 at its relaxed geometry, as listed in Alexandria.

Cell lengths 4.2302, 4.2302, 6.8759 Å; angles 90.00, 90.00, 120.00 degrees
Space group P3m1 (No. 156)
Unique sites:
Be 0.0000 0.0000 0.0000 [1 per cell]
Be 0.0000 0.0000 0.4982 [1 per cell]
Be 0.1675 0.3349 0.7415 [3 per cell]
Be 0.3396 0.1698 0.2511 [3 per cell]
Fe 0.6667 0.3333 0.5530 [1 per cell]
Cu 0.3333 0.6667 0.0528 [1 per cell]
Cu 0.3333 0.6667 0.4357 [1 per cell]
Cu 0.6667 0.3333 0.9355 [1 per cell]

Crystal system: trigonal


Computed energy, in the same sequence as the records: -6.12, -5.74, -6.20, -4.68, -3.56, -4.27, -6.11, -4.32, -6.16, -6.20, -6.16, -4.34 eV/atom.